1.
A relaxed DyReB4 crystal, computed with PBE-GGA.

Unit cell a=5.964 b=11.538 c=3.609 alpha=90.00 beta=90.00 gamma=90.00
Element x y z (fractional)
Dy (0.126, 0.150, 0.000)
Dy (0.374, 0.650, 0.000)
Dy (0.626, 0.350, 0.000)
Dy (0.874, 0.850, 0.000)
Re (0.133, 0.413, 0.000)
Re (0.367, 0.913, 0.000)
Re (0.633, 0.087, 0.000)
Re (0.867, 0.587, 0.000)
B (0.023, 0.692, 0.500)
B (0.114, 0.547, 0.500)
B (0.136, 0.968, 0.500)
B (0.212, 0.815, 0.500)
B (0.288, 0.315, 0.500)
B (0.364, 0.468, 0.500)
B (0.386, 0.047, 0.500)
B (0.477, 0.192, 0.500)
B (0.523, 0.808, 0.500)
B (0.614, 0.953, 0.500)
B (0.636, 0.532, 0.500)
B (0.712, 0.685, 0.500)
B (0.788, 0.185, 0.500)
B (0.864, 0.032, 0.500)
B (0.886, 0.453, 0.500)
B (0.977, 0.308, 0.500)

Results
Energy: -189.084 eV per cell
Density: 10.5 Mg/m³
Magnetization: 0.0 μB per formula unit


2.
A relaxed PrPdC2 crystal, computed with PBE-GGA.

Unit cell a=3.960 b=3.960 c=8.023 alpha=98.40 beta=98.40 gamma=90.21
Element x y z (fractional)
Pr (0.078, 0.922, 0.500)
Pr (0.922, 0.078, 0.000)
Pd (0.481, 0.635, 0.198)
Pd (0.635, 0.481, 0.698)
C (0.153, 0.519, 0.791)
C (0.391, 0.557, 0.931)
C (0.519, 0.153, 0.291)
C (0.557, 0.391, 0.431)

Results
Energy: -57.783 eV per cell
Density: 7.3 Mg/m³
Magnetization: 0.0 μB per formula unit


3.
A relaxed GePd2O6 crystal, computed with PBE-GGA.

Unit cell a=3.830 b=3.830 c=7.812 alpha=90.00 beta=90.00 gamma=90.00
Element x y z (fractional)
Ge (0.000, 0.000, 0.000)
Pd (0.500, 0.500, 0.257)
Pd (0.500, 0.500, 0.743)
O (0.000, 0.500, 0.188)
O (0.000, 0.500, 0.812)
O (0.500, 0.000, 0.188)
O (0.500, 0.000, 0.812)
O (0.500, 0.500, 0.000)
O (0.500, 0.500, 0.500)

Results
Energy: -45.206 eV per cell
Density: 5.5 Mg/m³


4.
A relaxed LiBeCuB crystal, computed with PBE-GGA.

Unit cell a=3.683 b=3.683 c=3.683 alpha=60.00 beta=60.00 gamma=60.00
Element x y z (fractional)
Li (0.000, 0.000, 0.000)
Be (0.250, 0.250, 0.250)
Cu (0.500, 0.500, 0.500)
B (0.750, 0.750, 0.750)

Results
Energy: -15.177 eV per cell
Density: 4.2 Mg/m³


5.
A relaxed ZnGa2NiPd4 crystal, computed with PBE-GGA.

Unit cell a=4.333 b=4.333 c=6.064 alpha=90.00 beta=90.00 gamma=90.00
Element x y z (fractional)
Zn (0.000, 0.000, 0.000)
Ga (0.000, 0.000, 0.500)
Ga (0.500, 0.500, 0.000)
Ni (0.500, 0.500, 0.500)
Pd (0.000, 0.500, 0.251)
Pd (0.000, 0.500, 0.749)
Pd (0.500, 0.000, 0.251)
Pd (0.500, 0.000, 0.749)

Results
Energy: -37.578 eV per cell
Density: 10.1 Mg/m³
Magnetization: 0.0 μB per formula unit


6.
A relaxed GePt15 crystal, computed with PBE-GGA.

Unit cell a=5.539 b=3.963 c=36.612 alpha=90.00 beta=90.03 gamma=90.00
Element x y z (fractional)
Ge (0.125, 0.250, 0.286)
Ge (0.875, 0.750, 0.714)
Pt (0.122, 0.250, 0.744)
Pt (0.123, 0.250, 0.825)
Pt (0.124, 0.250, 0.903)
Pt (0.125, 0.250, 0.058)
Pt (0.125, 0.250, 0.136)
Pt (0.125, 0.250, 0.215)
Pt (0.125, 0.250, 0.980)
Pt (0.372, 0.750, 0.256)
Pt (0.373, 0.750, 0.175)
Pt (0.374, 0.750, 0.097)
Pt (0.375, 0.750, 0.019)
Pt (0.375, 0.750, 0.712)
Pt (0.375, 0.750, 0.788)
Pt (0.375, 0.750, 0.864)
Pt (0.375, 0.750, 0.942)
Pt (0.625, 0.250, 0.058)
Pt (0.625, 0.250, 0.136)
Pt (0.625, 0.250, 0.212)
Pt (0.625, 0.250, 0.288)
Pt (0.625, 0.250, 0.981)
Pt (0.626, 0.250, 0.903)
Pt (0.627, 0.250, 0.825)
Pt (0.628, 0.250, 0.744)
Pt (0.875, 0.750, 0.020)
Pt (0.875, 0.750, 0.785)
Pt (0.875, 0.750, 0.864)
Pt (0.875, 0.750, 0.942)
Pt (0.876, 0.750, 0.097)
Pt (0.877, 0.750, 0.175)
Pt (0.878, 0.750, 0.256)

Results
Energy: -189.957 eV per cell
Density: 12.4 Mg/m³
Magnetization: 0.0 μB per formula unit


7.
A relaxed ThBeOs crystal, computed with PBE-GGA.

Unit cell a=4.495 b=4.495 c=4.495 alpha=60.00 beta=60.00 gamma=60.00
Element x y z (fractional)
Th (0.000, 0.000, 0.000)
Be (0.500, 0.500, 0.500)
Os (0.750, 0.750, 0.750)

Results
Energy: -21.759 eV per cell
Density: 11.2 Mg/m³
Magnetization: 0.0 μB per formula unit


8.
A relaxed RbCo crystal, computed with PBE-GGA.

Unit cell a=3.910 b=3.910 c=4.758 alpha=90.00 beta=90.00 gamma=90.00
Element x y z (fractional)
Rb (0.000, 0.000, 0.000)
Co (0.500, 0.500, 0.500)

Results
Energy: -4.919 eV per cell
Density: 3.3 Mg/m³
Magnetization: 2.0 μB per formula unit


9.
A relaxed KAgO crystal, computed with PBE-GGA.

Unit cell a=3.899 b=3.899 c=6.957 alpha=90.00 beta=90.00 gamma=90.00
Element x y z (fractional)
K (0.250, 0.250, 0.140)
K (0.750, 0.750, 0.860)
Ag (0.250, 0.750, 0.500)
Ag (0.750, 0.250, 0.500)
O (0.250, 0.250, 0.740)
O (0.750, 0.750, 0.260)

Results
Energy: -20.713 eV per cell
Density: 5.1 Mg/m³


10.
A relaxed SrIrNO2 crystal, computed with PBE-GGA.

Unit cell a=4.114 b=4.114 c=3.731 alpha=90.00 beta=90.00 gamma=90.00
Element x y z (fractional)
Sr (0.000, 0.000, 0.000)
Ir (0.500, 0.500, 0.500)
N (0.500, 0.500, 0.000)
O (0.000, 0.500, 0.500)
O (0.500, 0.000, 0.500)

Results
Energy: -33.606 eV per cell
Density: 8.6 Mg/m³
Magnetization: 0.0 μB per formula unit


11.
A relaxed FeS crystal, computed with PBE-GGA.

Unit cell a=5.841 b=5.841 c=10.470 alpha=90.00 beta=90.00 gamma=120.00
Element x y z (fractional)
Fe (0.070, 0.406, 0.115)
Fe (0.070, 0.406, 0.385)
Fe (0.336, 0.930, 0.115)
Fe (0.336, 0.930, 0.385)
Fe (0.406, 0.070, 0.615)
Fe (0.406, 0.070, 0.885)
Fe (0.594, 0.664, 0.115)
Fe (0.594, 0.664, 0.385)
Fe (0.664, 0.594, 0.615)
Fe (0.664, 0.594, 0.885)
Fe (0.930, 0.336, 0.615)
Fe (0.930, 0.336, 0.885)
S (0.000, 0.000, 0.000)
S (0.000, 0.000, 0.500)
S (0.026, 0.675, 0.250)
S (0.325, 0.351, 0.250)
S (0.333, 0.667, 0.537)
S (0.333, 0.667, 0.963)
S (0.351, 0.325, 0.750)
S (0.649, 0.974, 0.250)
S (0.667, 0.333, 0.037)
S (0.667, 0.333, 0.463)
S (0.675, 0.026, 0.750)
S (0.974, 0.649, 0.750)

Results
Energy: -155.943 eV per cell
Density: 5.7 Mg/m³
Magnetization: 0.7 μB per formula unit


12.
A relaxed LuAl2Sn crystal, computed with PBE-GGA.

Unit cell a=5.003 b=5.003 c=5.003 alpha=60.00 beta=60.00 gamma=60.00
Element x y z (fractional)
Lu (0.000, 0.000, 0.000)
Al (0.250, 0.250, 0.250)
Al (0.500, 0.500, 0.500)
Sn (0.750, 0.750, 0.750)

Results
Energy: -16.125 eV per cell
Density: 6.5 Mg/m³
Magnetization: 0.0 μB per formula unit